Record 1
The following is a DFT calculation (PBE) of a geometry-optimized Pr8Dy3Y3 structure.

Values from the calculation:
DFT formation energy: 0.1071 eV/atom
Electronic total energy: -0.184 Ha/atom

Cell lengths 9.866, 9.866, 9.866 Å; angles 146.22, 112.12, 78.01 degrees
Fractional positions:
1 Pr 0.059 0.396 0.663
2 Pr 0.068 0.226 0.843
3 Pr 0.267 0.604 0.663
4 Pr 0.383 0.226 0.157
5 Pr 0.617 0.774 0.843
6 Pr 0.733 0.396 0.337
7 Pr 0.932 0.774 0.157
8 Pr 0.941 0.604 0.337
9 Dy 0.319 0.819 0.500
10 Dy 0.500 0.500 0.000
11 Dy 0.681 0.181 0.500
12 Y 0.000 0.000 0.000
13 Y 0.305 0.000 0.305
14 Y 0.695 0.000 0.695

=====

Record 2
The following is a DFT calculation (PBE) of a geometry-optimized Pr3Dy3Y5 structure.

Values from the calculation:
DFT formation energy: 0.8018 eV/atom
Electronic total energy: -0.173 Ha/atom

Cell lengths 9.731, 9.731, 5.406 Å; angles 90.00, 90.00, 120.00 degrees
Fractional positions:
1 Pr 0.000 0.367 0.000
2 Pr 0.367 0.000 0.000
3 Pr 0.633 0.633 0.000
4 Dy 0.000 0.535 0.500
5 Dy 0.465 0.465 0.500
6 Dy 0.535 0.000 0.500
7 Y 0.000 0.739 0.000
8 Y 0.261 0.261 0.000
9 Y 0.333 0.667 0.000
10 Y 0.667 0.333 0.000
11 Y 0.739 0.000 0.000